Record 1
Below is crystalline Y2FeS2 at its relaxed geometry, with properties calculated at the PBE level.

- energy relative to the lowest polymorph listed for this composition (meV per atom) = 98

Cell and atoms, written as POSCAR:
```
Y2FeS2
1.0
-0.3412 -5.3738 0.5833
3.8946 0.1609 3.7604
-0.8633 -2.1442 4.8863
Y S Fe
2 2 1
direct
0.7500 0.2500 0.5000
0.2500 0.7500 0.5000
0.2854 0.2854 0.4292
0.7146 0.7146 0.5708
0.0000 0.0000 0.0000
```

Record 2
Below is crystalline YRu2W at its relaxed geometry, with properties calculated at the PBE level.

- energy relative to the lowest polymorph listed for this composition (meV per atom) = 378

Cell and atoms, written as POSCAR:
```
YRu2W
1.0
8.7209 -0.0153 -0.0090
8.1699 3.0509 -0.0090
8.1699 1.4683 2.6744
Ru W Y
2 1 1
direct
0.9902 0.9902 0.9902
0.5098 0.5098 0.5098
0.2500 0.2500 0.2500
0.7500 0.7500 0.7500
```

Record 3
Below is crystalline TbPaSe4 at its relaxed geometry, with properties calculated at the PBE level.

- energy relative to the lowest polymorph listed for this composition (meV per atom) = 90

Cell and atoms, written as POSCAR:
```
TbPaSe4
1.0
4.2879 0.0000 0.0000
0.0000 6.6264 0.0035
0.0000 -0.1263 6.6252
Tb Pa Se
1 1 4
direct
0.5000 0.0000 0.0000
0.0000 0.5000 0.5000
0.0000 0.2032 0.2032
0.0000 0.7968 0.7968
0.5000 0.6902 0.3098
0.5000 0.3098 0.6902
```

Record 4
Below is crystalline LiHo2TmPd4 at its relaxed geometry, with properties calculated at the PBE level.

- final energy (eV/cell) = -42.87

Cell and atoms, written as POSCAR:
```
LiHo2TmPd4
1.0
-1.3867 0.8943 -4.5576
-3.2942 -2.8446 -2.1333
-7.2506 3.9623 0.4061
Li Ho Tm Pd
1 2 1 4
direct
0.5000 0.5000 0.5000
0.7571 0.7571 0.7288
0.2429 0.2429 0.2712
0.0000 0.0000 0.0000
0.3736 0.3736 0.8793
0.8790 0.8790 0.3631
0.1210 0.1210 0.6369
0.6264 0.6264 0.1207
```

Record 5
Below is crystalline Na3Y2BiS6 at its relaxed geometry, with properties calculated at the PBE level.

- final energy (eV/cell) = -63.35

Cell and atoms, written as POSCAR:
```
Na3Y2BiS6
1.0
6.9687 -0.0013 -0.0001
-3.4838 6.0354 -0.0001
-1.1626 -2.0131 6.7078
Na Y Bi S
3 2 1 6
direct
0.1634 0.8366 0.5000
0.8366 0.1634 0.5000
0.5000 0.5000 0.5000
0.3329 0.6671 0.0000
0.6671 0.3329 0.0000
0.0000 0.0000 0.0000
0.9233 0.5824 0.7702
0.7356 0.7356 0.2297
0.0767 0.4176 0.2298
0.5824 0.9233 0.7702
0.2644 0.2644 0.7703
0.4176 0.0767 0.2298
```

Record 6
Below is crystalline Y3Bi2Sb at its relaxed geometry, with properties calculated at the PBE level.

- final energy (eV/cell) = -148.80

Cell and atoms, written as POSCAR:
```
Y3Bi2Sb
1.0
-4.9418 -5.5524 -2.0497
7.1811 -2.1649 -1.7880
0.1879 -1.7511 13.9625
Y Bi Sb
12 8 4
direct
0.1659 0.6702 0.8313
0.6654 0.1611 0.8313
0.0841 0.0798 0.6687
0.5846 0.5889 0.6687
0.0052 0.5052 0.5000
0.4948 0.9948 0.5000
0.4111 0.4154 0.3313
0.9202 0.9159 0.3313
0.8389 0.3346 0.1687
0.3298 0.8341 0.1687
0.2448 0.2448 0.0000
0.7552 0.7552 0.0000
0.9995 0.4995 0.9990
0.4173 0.4173 0.8346
0.8327 0.3327 0.6654
0.2505 0.2505 0.5010
0.7495 0.7495 0.4990
0.6673 0.1673 0.3346
0.5827 0.5827 0.1654
0.5005 0.0005 0.0010
0.9167 0.9167 0.8334
0.3333 0.8333 0.6666
0.1667 0.6667 0.3334
0.0833 0.0833 0.1666
```

Record 7
Below is crystalline La7HgPt5 at its relaxed geometry, with properties calculated at the PBE level.

- final energy (eV/cell) = -155.82

Cell and atoms, written as POSCAR:
```
La7HgPt5
1.0
4.2516 0.0000 0.0000
-2.1258 7.1209 0.0049
0.0000 -0.0421 25.4668
La Hg Pt
14 2 10
direct
0.4666 0.9332 0.2499
0.5340 0.0680 0.7501
0.6355 0.2709 0.0357
0.3652 0.7304 0.9643
0.3653 0.7306 0.5356
0.6351 0.2703 0.4643
0.1772 0.3545 0.1712
0.8234 0.6468 0.8289
0.8240 0.6479 0.6710
0.1765 0.3530 0.3289
0.9091 0.8182 0.1051
0.0916 0.1831 0.8949
0.0919 0.1838 0.6051
0.9085 0.8170 0.3948
0.7923 0.5847 0.2503
0.2083 0.4166 0.7498
0.0003 0.0007 0.0000
0.7273 0.4545 0.9284
0.2734 0.5468 0.0717
0.5417 0.0833 0.3560
0.4588 0.9177 0.6440
0.0002 0.0004 0.5000
0.2730 0.5460 0.4284
0.7274 0.4549 0.5716
0.4584 0.9167 0.8560
0.5423 0.0846 0.1440
```

Record 8
Below is crystalline SrScGa at its relaxed geometry, with properties calculated at the PBE level.

- energy relative to the lowest polymorph listed for this composition (meV per atom) = 188

Cell and atoms, written as POSCAR:
```
SrScGa
1.0
0.9944 -0.5203 -4.9154
-3.4906 -2.9072 2.1874
-5.2350 5.0839 -1.5973
Sc Sr Ga
2 2 2
direct
0.3333 0.6667 0.7500
0.6667 0.3333 0.2500
0.0000 0.0000 0.0000
0.0000 0.0000 0.5000
0.3333 0.6667 0.2500
0.6667 0.3333 0.7500
```